# 1
The following is a SCAN calculation of KBaAl3 at its PBEsol-relaxed geometry, from Alexandria.

Computed properties:
Calculated volume ... 219.3 Å³ per cell
Magnetic moment ... 0.0 μB/f.u.
DFT total energy ... -13.12 eV/atom
Crystal system ... cubic

Cell: 6.0306 6.0306 6.0306 Å, 90.00 90.00 90.00°
Closest atoms and distances in Å follow each position.
Space group Pm-3m (No. 221)
Symmetry-distinct sites (fractional):
K 0.0000 0.0000 0.0000 [1 per cell]  12 Al 4.26
Ba 0.5000 0.5000 0.5000 [1 per cell]  6 Al 3.02
Al 0.0000 0.5000 0.5000 [3 per cell]  2 Ba 3.02

# 2
The following is a SCAN calculation of RbBa2Ca at its PBEsol-relaxed geometry, from Alexandria.

Computed properties:
Calculated volume ... 928.4 Å³ per cell
Magnetic moment ... 1.2 μB/f.u.
DFT total energy ... -27.22 eV/atom
Crystal system ... cubic

Cell: 9.7555 9.7555 9.7555 Å, 90.00 90.00 90.00°
Closest atoms and distances in Å follow each position.
Space group Fm-3m (No. 225)
Symmetry-distinct sites (fractional):
Rb 0.0000 0.0000 0.0000 [4 per cell]  8 Ba 4.22
Ba 0.2500 0.2500 0.2500 [8 per cell]  4 Ca 4.22, 4 Rb 4.22
Ca 0.0000 0.0000 0.5000 [4 per cell]  8 Ba 4.22